A geometry-optimized AlFeSeN2 structure. Source: Alexandria via LeMat-Bulk, functional PBE-GGA.

Unit cell a=3.6608 b=3.6608 c=5.5754 alpha=90.00 beta=90.00 gamma=90.00
Space group P4/mmm (No. 123)
Unique sites:
1 Al 0.0000 0.0000 0.0000 [1 per cell]
2 Fe 0.5000 0.5000 0.5000 [1 per cell]
3 Se 0.0000 0.0000 0.5000 [1 per cell]
4 N 0.0000 0.5000 0.0000 [2 per cell]

ΔE to the lowest computed polymorph = 167 meV/atom
formation energy from raw total energies = 0.789 eV/atom